(1)
Compound: LaInPt
Source: Alexandria
Functional: PBE-GGA
Structure: optimized geometry

For the formation energy, the calculation gives -0.845 eV per atom. The total energy is -16.2 eV per cell. The density comes out at 9.9 g/cm3. The crystal system is hexagonal.

It has space group P-6m2 (No. 187), with a = 4.7613 Å, b = 4.7613 Å, c = 3.8248 Å, α = 90.00°, β = 90.00° and γ = 120.00°. The distinct sites, in fractional coordinates, are La at (0.0000, 0.0000, 0.0000), In at (0.3333, 0.6667, 0.5000) and Pt at (0.6667, 0.3333, 0.5000).

***

(2)
Compound: Ti2SnGe2
Source: Alexandria
Functional: PBE-GGA
Structure: optimized geometry

For the formation energy, the calculation gives -0.248 eV per atom. The total energy is -60.5 eV per cell. The energy above the most stable polymorph in this dataset comes out at 0.002 eV/atom. The density comes out at 6.5 g/cm3. The crystal system is tetragonal.

It has space group P4/mbm (No. 127), with a = 7.1301 Å, b = 7.1301 Å, c = 3.6180 Å, α = 90.00°, β = 90.00° and γ = 90.00°. The distinct sites, in fractional coordinates, are Ti at (0.1450, 0.3550, 0.0000), Sn at (0.0000, 0.0000, 0.0000) and Ge at (0.1540, 0.6540, 0.5000).

***

(3)
Compound: Mg2TcBiPt
Source: Alexandria
Functional: PBE-GGA
Structure: optimized geometry

For the formation energy, the calculation gives 0.780 eV per atom. The total energy is -19.6 eV per cell. The density comes out at 7.4 g/cm3. The crystal system is tetragonal.

It has space group P4/mmm (No. 123), with a = 4.9282 Å, b = 4.9282 Å, c = 5.0949 Å, α = 90.00°, β = 90.00° and γ = 90.00°. The distinct sites, in fractional coordinates, are Mg at (0.0000, 0.5000, 0.0000), Tc at (0.0000, 0.0000, 0.0000), Bi at (0.0000, 0.0000, 0.5000) and Pt at (0.5000, 0.5000, 0.5000).